Tb3Pm2Ir2, optimized geometry, DFT PBE; symmetry = No. 12; DOS at the Fermi energy = 7.33 states/eV/cell; volume = 191 Å³ per cell; DFT formation energy = -581 meV per atom
1.0
6.141 -1.925 0.000
6.141 1.925 0.000
-4.055 0.000 8.091
Tb Pm Ir
3 2 2
Cartesian
0.000 0.000 0.000 Tb
-0.279 0.000 3.479 Tb
8.505 0.000 4.612 Tb
3.307 0.000 1.563 Pm
4.920 0.000 6.528 Pm
0.919 0.000 6.141 Ir
7.308 0.000 1.950 Ir